Below is a relaxed structure of Tb3Tl3ZnTe8, with properties calculated at the PBE level.

a b c (Å): 8.817 8.702 9.546
angles (deg): 116.66 89.98 120.42
Fractional coordinates of all 15 atoms:
Te  0.259  0.519  0.281
Te  0.209  0.417  0.692
Tl  0.500  0.500  0.000
Te  0.741  0.481  0.719
Tb  0.000  0.500  0.500
Tb  0.500  0.500  0.500
Te  0.791  0.583  0.308
Te  0.271  0.026  0.281
Tl  0.000  0.000  0.000
Te  0.245  0.975  0.719
Te  0.729  0.974  0.719
Zn  0.000  0.000  0.500
Te  0.755  0.025  0.281
Tb  0.500  0.000  0.500
Tl  0.000  0.500  0.000

Computed properties:
theoretical density = 6.698 g/cm³
SG = No. 12
total moment = 0.00 μB/cell
raw total energy = -58.96 eV per cell
ΔE_f (raw) = -0.771 eV per atom